## w
Entry from the Alexandria database: a relaxed LiAs2Ir crystal (PBE-GGA).

**Total moment**: 0.00 μB per formula unit

Geometry as POSCAR:
```
LiAs2Ir
1.0
4.102 0.000 0.000
0.000 2.916 -0.004
0.000 0.011 5.514
As Ir Li
2 1 1
direct
0.000 0.251 0.506
0.000 0.249 0.994
0.500 0.250 0.250
0.500 0.750 0.750
```

***

## x
Entry from the Alexandria database: a relaxed LiAs2Ir crystal (PBE-GGA).

**Total moment**: 0.00 μB per formula unit

Geometry as POSCAR:
```
LiAs2Ir
1.0
-2.971 -0.139 -0.263
0.314 -1.208 -2.914
0.065 -6.424 2.670
Ir As Li
1 2 1
direct
0.500 0.500 0.250
0.000 0.000 0.474
0.000 0.000 0.026
0.500 0.500 0.750
```

***

## y
Entry from the Alexandria database: a relaxed LiAs2Ir crystal (PBE-GGA).

**Total moment**: 0.00 μB per formula unit

Geometry as POSCAR:
```
LiAs2Ir
1.0
8.482 -0.272 -0.160
8.026 2.755 -0.160
8.026 1.207 2.482
As Li Ir
2 1 1
direct
0.242 0.242 0.242
0.000 0.000 0.000
0.753 0.753 0.753
0.505 0.505 0.505
```

***

## z
Entry from the Alexandria database: a relaxed LiAs2Ir crystal (PBE-GGA).

**Total moment**: 0.00 μB per formula unit

Geometry as POSCAR:
```
LiAs2Ir
1.0
-4.171 -0.997 -1.309
1.393 -3.755 2.017
-1.124 1.069 2.766
As Ir Li
2 1 1
direct
0.000 0.000 0.000
0.500 0.500 0.000
0.500 0.000 0.500
0.000 0.500 0.500
```

***

Stability check: which of them is most stable? w.

***

## w
Entry from the Alexandria database: a relaxed LiAs2Ir crystal (PBE-GGA).

**Total moment**: 0.00 μB per formula unit

Geometry as POSCAR:
```
LiAs2Ir
1.0
-0.090 -1.888 3.989
-0.730 -4.338 0.373
3.272 -2.690 1.243
Li Ir As
1 1 2
direct
0.750 0.750 0.750
0.500 0.500 0.500
0.250 0.250 0.250
0.000 0.000 0.000
```

***

## x
Entry from the Alexandria database: a relaxed LiAs2Ir crystal (PBE-GGA).

**Total moment**: 0.00 μB per formula unit

Geometry as POSCAR:
```
LiAs2Ir
1.0
0.000 3.127 3.127
3.127 0.000 3.127
3.127 3.127 0.000
Li Ir As
1 1 2
direct
0.000 0.000 0.000
0.500 0.500 0.500
0.750 0.750 0.750
0.250 0.250 0.250
```

***

Stability check: which of them is most stable? x.

***

## w
Entry from the Alexandria database: a relaxed Li3AsIr crystal (PBE-GGA).

**Total moment**: 1.86 μB per formula unit

Geometry as POSCAR:
```
Li3AsIr
1.0
4.537 0.000 0.000
0.000 4.537 0.000
0.000 0.000 4.537
Li As Ir
3 1 1
direct
0.500 0.000 0.000
0.000 0.500 0.000
0.000 0.000 0.500
0.000 0.000 0.000
0.500 0.500 0.500
```

***

## x
Entry from the Alexandria database: a relaxed Li3AsIr crystal (PBE-GGA).

**Total moment**: 0.00 μB per formula unit

Geometry as POSCAR:
```
Li3AsIr
1.0
4.564 0.000 0.000
0.000 4.564 0.000
0.000 0.000 4.564
As Ir Li
1 1 3
direct
0.500 0.500 0.500
0.000 0.000 0.000
0.000 0.000 0.500
0.000 0.500 0.000
0.500 0.000 0.000
```

***

Stability check: which of them is most stable? x.